Entry 1:
DFT (PBE) results for an optimized crystal structure of La2DySn2.

The space group is P4/mbm (No. 127) and the conventional cell measures 8.221, 8.221 and 4.721 Å, with angles of 90.00, 90.00 and 90.00 degrees. Symmetry generates all atoms from La at (0.172, 0.328, 0.000), Dy at (0.000, 0.000, 0.500) and Sn at (0.129, 0.629, 0.500).

The value obtained for the formation energy is -0.7378 eV/atom. Its total magnetization is 0.000 μB per formula unit. The value obtained for the uncorrected energy is -5.230 eV/atom. The crystal system is tetragonal. As for the excess energy over the best structure of this formula in the dataset: 0 meV per atom.

Entry 2:
DFT (PBE) results for an optimized crystal structure of CsScI2.

The space group is I-42d (No. 122) and the conventional cell measures 7.350, 7.350 and 16.314 Å, with angles of 90.00, 90.00 and 90.00 degrees. Symmetry generates all atoms from Cs at (0.000, 0.000, 0.000), Sc at (0.000, 0.000, 0.500) and I at (0.133, 0.250, 0.625).

The formation energy from raw total energies comes out at -0.6809 eV/atom. Its total magnetization is 1.872 μB per formula unit. The value obtained for the uncorrected energy is -3.252 eV/atom. The crystal system is tetragonal.

Entry 3:
DFT (PBE) results for an optimized crystal structure of Er6GeS4.

The space group is Cmcm (No. 63) and the conventional cell measures 3.912, 12.617 and 19.626 Å, with angles of 90.00, 90.00 and 90.00 degrees. Symmetry generates all atoms from Er at (0.000, 0.000, 0.000), Er at (0.000, 0.168, 0.250), Er at (0.000, 0.273, 0.586), Er at (0.000, 0.450, 0.165), Ge at (0.000, 0.166, 0.750), S at (0.000, 0.089, 0.124) and S at (0.000, 0.362, 0.040).

The formation energy from raw total energies comes out at -1.6098 eV/atom. Its total magnetization is 0.000 μB per formula unit. The value obtained for the uncorrected energy is -6.019 eV/atom. The crystal system is orthorhombic.

Entry 4:
DFT (PBE) results for an optimized crystal structure of PrMg2TlPb.

The space group is Cmcm (No. 63) and the conventional cell measures 4.796, 11.559 and 9.900 Å, with angles of 90.00, 90.00 and 90.00 degrees. Symmetry generates all atoms from Pr at (0.000, 0.047, 0.250), Mg at (0.000, 0.244, 0.588), Tl at (0.000, 0.500, 0.000) and Pb at (0.000, 0.327, 0.250).

The value obtained for the formation energy is -0.2104 eV/atom. Its total magnetization is 0.000 μB per formula unit. The value obtained for the uncorrected energy is -3.019 eV/atom. The crystal system is orthorhombic.

Entry 5:
DFT (PBE) results for an optimized crystal structure of MgReSi.

The space group is P-6m2 (No. 187) and the conventional cell measures 4.3169, 4.3169 and 2.8557 Å, with angles of 90.00, 90.00 and 120.00 degrees. Symmetry generates all atoms from Mg at (0.0000, 0.0000, 0.0000), Re at (0.6667, 0.3333, 0.5000) and Si at (0.3333, 0.6667, 0.5000).

The formation energy from raw total energies comes out at 0.0562 eV/atom. Its total magnetization is 0.000 μB per formula unit. The value obtained for the uncorrected energy is -6.432 eV/atom. The crystal system is hexagonal.

Entry 6:
DFT (PBE) results for an optimized crystal structure of Ac2Si5Ir.

The space group is I4mm (No. 107) and the conventional cell measures 5.821, 5.821 and 10.464 Å, with angles of 90.00, 90.00 and 90.00 degrees. Symmetry generates all atoms from Ac at (0.000, 0.500, 0.000), Si at (0.000, 0.000, 0.094), Si at (0.214, 0.214, 0.260) and Ir at (0.000, 0.000, 0.718).

The formation energy from raw total energies comes out at -0.4763 eV/atom. Its total magnetization is 0.000 μB per formula unit. The value obtained for the uncorrected energy is -6.000 eV/atom. The crystal system is tetragonal.

Entry 7:
DFT (PBE) results for an optimized crystal structure of Sb2TeOsCl.

The space group is P4/mmm (No. 123) and the conventional cell measures 5.032, 5.032 and 5.226 Å, with angles of 90.00, 90.00 and 90.00 degrees. Symmetry generates all atoms from Sb at (0.000, 0.500, 0.000), Te at (0.000, 0.000, 0.500), Os at (0.500, 0.500, 0.500) and Cl at (0.000, 0.000, 0.000).

The formation energy from raw total energies comes out at 1.7230 eV/atom. Its total magnetization is 0.000 μB per formula unit. The value obtained for the uncorrected energy is -3.170 eV/atom. The crystal system is tetragonal. As for the excess energy over the best structure of this formula in the dataset: 1215 meV per atom.

Entry 8:
DFT (PBE) results for an optimized crystal structure of Pm5Mg4In.

The space group is P4/mmm (No. 123) and the conventional cell measures 3.856, 3.856 and 19.384 Å, with angles of 90.00, 90.00 and 90.00 degrees. Symmetry generates all atoms from Pm at (0.000, 0.000, 0.000), Pm at (0.000, 0.000, 0.201), Pm at (0.000, 0.000, 0.400), Mg at (0.500, 0.500, 0.100), Mg at (0.500, 0.500, 0.299) and In at (0.500, 0.500, 0.500).

The value obtained for the formation energy is -0.1845 eV/atom. Its total magnetization is 0.000 μB per formula unit. The value obtained for the uncorrected energy is -3.471 eV/atom. The crystal system is tetragonal.

Entry 9:
DFT (PBE) results for an optimized crystal structure of Na2CaCeF8.

The space group is Pmmm (No. 47) and the conventional cell measures 3.903, 5.599 and 7.833 Å, with angles of 90.00, 90.00 and 90.00 degrees. Symmetry generates all atoms from Na at (0.000, 0.000, 0.225), Ca at (0.500, 0.500, 0.000), Ce at (0.500, 0.500, 0.500), F at (0.000, 0.263, 0.000), F at (0.000, 0.271, 0.500) and F at (0.500, 0.267, 0.270).

The formation energy from raw total energies comes out at -3.4759 eV/atom. Its total magnetization is 0.000 μB per formula unit. The value obtained for the uncorrected energy is -5.605 eV/atom. The crystal system is orthorhombic.

Entry 10:
DFT (PBE) results for an optimized crystal structure of BaTa2Ir.

The space group is P4mm (No. 99) and the conventional cell measures 3.190, 3.190 and 9.016 Å, with angles of 90.00, 90.00 and 90.00 degrees. Symmetry generates all atoms from Ba at (0.000, 0.000, 0.000), Ta at (0.000, 0.000, 0.443), Ta at (0.500, 0.500, 0.653) and Ir at (0.500, 0.500, 0.288).

The value obtained for the formation energy is 0.2175 eV/atom. Its total magnetization is 0.000 μB per formula unit. The value obtained for the uncorrected energy is -8.405 eV/atom. The crystal system is tetragonal. As for the excess energy over the best structure of this formula in the dataset: 0 meV per atom.

Entry 11:
DFT (PBE) results for an optimized crystal structure of AcLa2SeO8.

The space group is P-1 (No. 2) and the conventional cell measures 4.686, 5.596 and 7.024 Å, with angles of 103.30, 91.51 and 94.86 degrees. Symmetry generates all atoms from Ac at (0.000, 0.000, 0.000), La at (0.486, 0.596, 0.267), Se at (0.000, 0.000, 0.500), O at (0.002, 0.754, 0.269), O at (0.167, 0.229, 0.377), O at (0.330, 0.916, 0.588) and O at (0.465, 0.739, 0.987).

The formation energy from raw total energies comes out at -2.2635 eV/atom. Its total magnetization is 1.010 μB per formula unit. The value obtained for the uncorrected energy is -7.023 eV/atom. The crystal system is triclinic.

Entry 12:
DFT (PBE) results for an optimized crystal structure of TaNbAl2I.

The space group is P4/mmm (No. 123) and the conventional cell measures 5.204, 5.204 and 4.918 Å, with angles of 90.00, 90.00 and 90.00 degrees. Symmetry generates all atoms from Ta at (0.000, 0.000, 0.000), Nb at (0.000, 0.000, 0.500), Al at (0.000, 0.500, 0.000) and I at (0.500, 0.500, 0.500).

The formation energy from raw total energies comes out at 1.0090 eV/atom. Its total magnetization is 0.000 μB per formula unit. The value obtained for the uncorrected energy is -5.183 eV/atom. The crystal system is tetragonal.

Entry 13:
DFT (PBE) results for an optimized crystal structure of AlGeS2N.

The space group is P4/mmm (No. 123) and the conventional cell measures 4.836, 4.836 and 3.600 Å, with angles of 90.00, 90.00 and 90.00 degrees. Symmetry generates all atoms from Al at (0.000, 0.000, 0.000), Ge at (0.500, 0.500, 0.500), S at (0.000, 0.500, 0.500) and N at (0.500, 0.500, 0.000).

The formation energy from raw total energies comes out at 0.5758 eV/atom. Its total magnetization is 0.856 μB per formula unit. The value obtained for the uncorrected energy is -4.412 eV/atom. The crystal system is tetragonal. As for the excess energy over the best structure of this formula in the dataset: 375 meV per atom.

Entry 14:
DFT (PBE) results for an optimized crystal structure of CdMoW2.

The space group is Pmm2 (No. 25) and the conventional cell measures 2.687, 4.436 and 5.698 Å, with angles of 90.00, 90.00 and 90.00 degrees. Symmetry generates all atoms from Cd at (0.000, 0.000, 0.000), Mo at (0.500, 0.500, 0.258), W at (0.000, 0.000, 0.499) and W at (0.500, 0.500, 0.736).

The value obtained for the formation energy is 0.5035 eV/atom. Its total magnetization is 0.000 μB per formula unit. The value obtained for the uncorrected energy is -8.910 eV/atom. The crystal system is orthorhombic.

Entry 15:
DFT (PBE) results for an optimized crystal structure of FeNi2Ir.

The space group is F-43m (No. 216) and the conventional cell measures 5.820, 5.820 and 5.820 Å, with angles of 90.00, 90.00 and 90.00 degrees. Symmetry generates all atoms from Fe at (0.000, 0.000, 0.000), Ni at (0.000, 0.000, 0.500), Ni at (0.250, 0.250, 0.750) and Ir at (0.250, 0.250, 0.250).

The value obtained for the formation energy is 0.0686 eV/atom. Its total magnetization is 4.380 μB per formula unit. The value obtained for the uncorrected energy is -7.153 eV/atom. The crystal system is cubic.

Entry 16:
DFT (PBE) results for an optimized crystal structure of Ca2PmDy.

The space group is Fm-3m (No. 225) and the conventional cell measures 8.324, 8.324 and 8.324 Å, with angles of 90.00, 90.00 and 90.00 degrees. Symmetry generates all atoms from Ca at (0.250, 0.250, 0.250), Pm at (0.000, 0.000, 0.000) and Dy at (0.000, 0.000, 0.500).

The value obtained for the formation energy is 0.1586 eV/atom. Its total magnetization is 0.000 μB per formula unit. The value obtained for the uncorrected energy is -3.180 eV/atom. The crystal system is cubic. As for the excess energy over the best structure of this formula in the dataset: 111 meV per atom.

Entry 17:
DFT (PBE) results for an optimized crystal structure of LaHg3Pd3.

The space group is Pm-3n (No. 223) and the conventional cell measures 7.378, 7.378 and 7.378 Å, with angles of 90.00, 90.00 and 90.00 degrees. Symmetry generates all atoms from La at (0.000, 0.000, 0.000), Hg at (0.000, 0.250, 0.500) and Pd at (0.000, 0.500, 0.250).

The value obtained for the formation energy is 0.1813 eV/atom. Its total magnetization is 0.256 μB per formula unit. The value obtained for the uncorrected energy is -2.877 eV/atom. The crystal system is cubic. As for the excess energy over the best structure of this formula in the dataset: 565 meV per atom.

Entry 18:
DFT (PBE) results for an optimized crystal structure of La4DyCu5.

The space group is P4/mmm (No. 123) and the conventional cell measures 3.594, 3.594 and 18.320 Å, with angles of 90.00, 90.00 and 90.00 degrees. Symmetry generates all atoms from La at (0.000, 0.000, 0.102), La at (0.000, 0.000, 0.306), Dy at (0.000, 0.000, 0.500), Cu at (0.500, 0.500, 0.000), Cu at (0.500, 0.500, 0.204) and Cu at (0.500, 0.500, 0.415).

The value obtained for the formation energy is -0.1557 eV/atom. Its total magnetization is 0.000 μB per formula unit. The value obtained for the uncorrected energy is -4.635 eV/atom. The crystal system is tetragonal.

Entry 19:
DFT (PBE) results for an optimized crystal structure of Cs2PmAg2Br6.

The space group is C2/m (No. 12) and the conventional cell measures 14.088, 8.259 and 9.236 Å, with angles of 90.00, 121.95 and 90.00 degrees. Symmetry generates all atoms from Cs at (0.212, 0.000, 0.181), Pm at (0.000, 0.000, 0.500), Ag at (0.045, 0.500, 0.172), Br at (0.058, 0.237, 0.765) and Br at (0.229, 0.000, 0.587).

The formation energy from raw total energies comes out at -1.2679 eV/atom. Its total magnetization is 0.946 μB per formula unit. The value obtained for the uncorrected energy is -3.286 eV/atom. The crystal system is monoclinic.

Entry 20:
DFT (PBE) results for an optimized crystal structure of AcCePS.

The space group is R3m (No. 160, hexagonal axes) and the conventional cell measures 4.1291, 4.1291 and 22.2358 Å, with angles of 90.00, 90.00 and 120.00 degrees. Symmetry generates all atoms from Ac at (0.0000, 0.0000, 0.0000), Ce at (0.0000, 0.0000, 0.1771), P at (0.0000, 0.0000, 0.5841) and S at (0.0000, 0.0000, 0.4251).

The formation energy from raw total energies comes out at -1.6217 eV/atom. Its total magnetization is 1.149 μB per formula unit. The value obtained for the uncorrected energy is -6.517 eV/atom. The crystal system is trigonal.